Record 1
A plane-wave DFT calculation with PBE-GGA was carried out for a relaxed structure of Ce2Zn2Ge4Rh.

a b c (Å): 6.290 6.290 8.736
angles (deg): 90.00 90.00 90.00
Space group I4/mmm (No. 139)
Asymmetric unit:
Ce (0.000, 0.500, 0.250) x4
Zn (0.000, 0.000, 0.210) x4
Ge (0.221, 0.221, 0.000) x8
Rh (0.000, 0.000, 0.500) x2

**D(E_F)**: 9.323 states/eV/f.u.
**Energy**: -90.69 eV/cell
**Energy of formation**: -568 meV per atom

Record 2
A plane-wave DFT calculation with PBE-GGA was carried out for a relaxed structure of Ce2Zn2GeRh5.

a b c (Å): 9.620 9.620 3.651
angles (deg): 90.00 90.00 90.00
Space group P4/mbm (No. 127)
Asymmetric unit:
Ce (0.174, 0.326, 0.000) x4
Zn (0.124, 0.624, 0.000) x4
Ge (0.000, 0.000, 0.000) x2
Rh (0.000, 0.500, 0.500) x2
Rh (0.073, 0.801, 0.500) x8

**D(E_F)**: 5.267 states/eV/f.u.
**Energy**: -123.70 eV/cell
**Energy of formation**: -606 meV per atom

Record 3
A plane-wave DFT calculation with PBE-GGA was carried out for a relaxed structure of Ce2ZrGe3Rh4.

a b c (Å): 4.147 4.147 11.039
angles (deg): 90.00 90.00 90.00
Space group P-4m2 (No. 115)
Asymmetric unit:
Ce (0.000, 0.500, 0.235) x2
Zr (0.000, 0.000, 0.500) x1
Ge (0.000, 0.500, 0.875) x2
Ge (0.500, 0.500, 0.500) x1
Rh (0.000, 0.000, 0.000) x1
Rh (0.000, 0.500, 0.651) x2
Rh (0.500, 0.500, 0.000) x1

**D(E_F)**: 11.094 states/eV/f.u.
**Energy**: -72.36 eV/cell
**Energy of formation**: -869 meV per atom

Record 4
A plane-wave DFT calculation with PBE-GGA was carried out for a relaxed structure of Ce2Ge3Ru2.

a b c (Å): 11.232 4.457 6.730
angles (deg): 90.00 105.26 90.00
Space group C2/m (No. 12)
Asymmetric unit:
Ce (0.113, 0.000, 0.290) x4
Ge (0.000, 0.500, 0.000) x2
Ge (0.195, 0.000, 0.746) x4
Ru (0.178, 0.500, 0.891) x4

**D(E_F)**: 11.725 states/eV/f.u.
**Energy**: -93.73 eV/cell
**Energy of formation**: -370 meV per atom

Record 5
A plane-wave DFT calculation with PBE-GGA was carried out for a relaxed structure of Ce5GeRu3.

a b c (Å): 12.253 8.914 9.389
angles (deg): 90.00 111.89 90.00
Space group C2/m (No. 12)
Asymmetric unit:
Ce (0.000, 0.211, 0.000) x4
Ce (0.037, 0.000, 0.341) x4
Ce (0.174, 0.308, 0.637) x8
Ce (0.232, 0.500, 0.057) x4
Ge (0.087, 0.500, 0.295) x4
Ru (0.000, 0.500, 0.000) x2
Ru (0.000, 0.500, 0.500) x2
Ru (0.169, 0.000, 0.156) x4
Ru (0.185, 0.000, 0.604) x4

**D(E_F)**: 20.332 states/eV/f.u.
**Energy**: -256.84 eV/cell
**Energy of formation**: -233 meV per atom

Record 6
A plane-wave DFT calculation with PBE-GGA was carried out for a relaxed structure of CeGe3Ru.

a b c (Å): 6.148 5.661 5.773
angles (deg): 90.00 90.00 90.00
Space group Pmn2_1 (No. 31)
Asymmetric unit:
Ce (0.000, 0.147, 0.000) x2
Ge (0.000, 0.904, 0.551) x2
Ge (0.236, 0.320, 0.452) x4
Ru (0.000, 0.610, 0.255) x2

**D(E_F)**: 4.272 states/eV/f.u.
**Energy**: -63.10 eV/cell
**Energy of formation**: -497 meV per atom